1.
Here is a relaxed Hf2NbTl crystal from Alexandria via LeMat-Bulk. Energies are from GGA-PBE.

Calculated values
Its energy of formation from the pure elements is 0.10 eV per atom. Its crystal system is monoclinic. The calculation puts the distance to the lowest polymorph of the same formula at 0.119 eV/atom. The value obtained for the density of states at the Fermi level is 0.95 states/eV per atom. As for the volume: 21.660 Å³ per atom.

a = 6.904 Å, b = 3.592 Å, c = 7.765 Å
α = 90.00°, β = 115.89°, γ = 90.00°
Space group Pm (No. 6)
Inequivalent atoms, fractional coordinates:
Hf 0.000 0.000 0.000 [1 per cell]
Hf 0.048 0.500 0.704 [1 per cell]
Hf 0.244 0.000 0.476 [1 per cell]
Hf 0.615 0.500 0.728 [1 per cell]
Nb 0.373 0.500 0.249 [1 per cell]
Nb 0.697 0.000 0.470 [1 per cell]
Tl 0.436 0.000 0.956 [1 per cell]
Tl 0.848 0.500 0.234 [1 per cell]


2.
Here is a relaxed PuAlAs crystal from Alexandria via LeMat-Bulk. Energies are from GGA-PBE.

Calculated values
Its energy of formation from the pure elements is -0.06 eV per atom. Its crystal system is tetragonal. The value obtained for the density of states at the Fermi level is 1.29 states/eV per atom. As for the volume: 17.557 Å³ per atom.

a = 3.378 Å, b = 3.378 Å, c = 9.232 Å
α = 90.00°, β = 90.00°, γ = 90.00°
Space group P4/nmm (No. 129, origin choice 2)
Inequivalent atoms, fractional coordinates:
Pu 0.250 0.250 0.053 [2 per cell]
Al 0.250 0.250 0.411 [2 per cell]
As 0.250 0.250 0.751 [2 per cell]


3.
Here is a relaxed NbCrW crystal from Alexandria via LeMat-Bulk. Energies are from GGA-PBE.

Calculated values
Its energy of formation from the pure elements is 0.35 eV per atom. Its crystal system is orthorhombic. The calculation puts the distance to the lowest polymorph of the same formula at 0.330 eV/atom. The value obtained for the density of states at the Fermi level is 1.02 states/eV per atom. As for the volume: 15.791 Å³ per atom.

a = 5.114 Å, b = 9.486 Å, c = 7.813 Å
α = 90.00°, β = 90.00°, γ = 90.00°
Space group Cmce (No. 64)
Inequivalent atoms, fractional coordinates:
Nb 0.000 0.128 0.095 [8 per cell]
Cr 0.000 0.114 0.439 [8 per cell]
W 0.250 0.125 0.750 [8 per cell]


4.
Here is a relaxed MoOsW2 crystal from Alexandria via LeMat-Bulk. Energies are from GGA-PBE.

Calculated values
Its energy of formation from the pure elements is 0.17 eV per atom. Its crystal system is orthorhombic. The calculation puts the distance to the lowest polymorph of the same formula at 0.033 eV/atom. The value obtained for the density of states at the Fermi level is 1.18 states/eV per atom. As for the volume: 15.685 Å³ per atom.

a = 3.125 Å, b = 4.461 Å, c = 4.501 Å
α = 90.00°, β = 90.00°, γ = 90.00°
Space group Pmmm (No. 47)
Inequivalent atoms, fractional coordinates:
Mo 0.000 0.000 0.000 [1 per cell]
Os 0.500 0.000 0.500 [1 per cell]
W 0.000 0.500 0.500 [1 per cell]
W 0.500 0.500 0.000 [1 per cell]